Entry from Alexandria via LeMat-Bulk: a relaxed KSb3Pd2 crystal (PBE).

Cell: 9.672 9.672 9.672 Å, 38.99 38.99 38.99°
Positions (direct):
K 0.198 0.198 0.198
K 0.802 0.802 0.802
Sb 0.245 0.245 0.736
Sb 0.245 0.736 0.245
Sb 0.264 0.755 0.755
Sb 0.736 0.245 0.245
Sb 0.755 0.264 0.755
Sb 0.755 0.755 0.264
Pd 0.000 0.000 0.000
Pd 0.000 0.500 0.500
Pd 0.500 0.000 0.500
Pd 0.500 0.500 0.000

Summary:
The value obtained for the spin magnetization is 0.0 μB/cell. Its energy relative to the elements, uncorrected is -206 kJ/mol of formula units. The density of states at the Fermi level is 0.028 states/eV/atom. The symmetry is R-3m, No. 166.